Density functional theory data (PBE) for a relaxed PmPrNd5Dy2 crystal.

Lattice parameters (Å, degrees): 5.748 20.561 10.691 90.00 90.00 90.00
Space group Cmc2_1 (No. 36)
Asymmetric unit:
Pm (0.000, 0.200, 0.000) [4 per cell]
Pr (0.000, 0.413, 0.439) [4 per cell]
Nd (0.000, 0.016, 0.013) [4 per cell]
Nd (0.000, 0.280, 0.300) [4 per cell]
Nd (0.000, 0.296, 0.695) [4 per cell]
Nd (0.000, 0.391, 0.015) [4 per cell]
Nd (0.000, 0.477, 0.730) [4 per cell]
Dy (0.000, 0.113, 0.722) [4 per cell]
Dy (0.000, 0.117, 0.312) [4 per cell]

crystal system: orthorhombic
volume: 35.10 Å³ per atom
energy: -4.585 eV/atom